{"formula": "EuGa2Os", "functional": "PBE", "state": "relaxed", "cell": [[4.2721, 0.0000, 0.0000], [2.1361, 3.6998, 0.0000], [2.1361, 1.2333, 5.3127]], "species": ["Ga", "Ga", "Os", "Eu"], "frac_coords": [[0.7093, 0.7093, 0.8721], [0.2907, 0.2907, 0.1279], [0.0000, 0.0000, 0.0000], [0.5000, 0.5000, 0.5000]], "formation_energy_ev_per_atom": -0.230, "magmom_total_mub_per_fu": 6.978, "crystal_system": "trigonal", "energy_ev_per_cell": -28.48}

{"formula": "Pm3Y3Mg2", "functional": "PBE", "state": "relaxed", "cell": [[-0.8363, 1.2081, 5.2065], [1.5712, -6.2105, -1.1171], [15.2429, 3.5646, 1.6213]], "species": ["Y", "Y", "Y", "Y", "Y", "Y", "Pm", "Pm", "Pm", "Pm", "Pm", "Pm", "Mg", "Mg", "Mg", "Mg"], "frac_coords": [[0.2635, 0.5269, 0.7500], [0.0505, 0.1011, 0.8973], [0.9495, 0.8989, 0.3973], [0.9495, 0.8989, 0.1027], [0.7365, 0.4731, 0.2500], [0.0505, 0.1011, 0.6027], [0.3563, 0.7127, 0.9726], [0.5413, 0.0827, 0.7500], [0.4587, 0.9173, 0.2500], [0.6437, 0.2873, 0.0274], [0.3563, 0.7127, 0.5274], [0.6437, 0.2873, 0.4726], [0.7886, 0.5771, 0.8522], [0.2114, 0.4229, 0.1478], [0.7886, 0.5771, 0.6478], [0.2114, 0.4229, 0.3522]], "formation_energy_ev_per_atom": 0.067, "magmom_total_mub_per_fu": 0.000, "crystal_system": "orthorhombic", "energy_ev_per_cell": -72.59}

{"formula": "Ho2TmS4", "functional": "PBE", "state": "relaxed", "cell": [[-3.6993, 6.8375, -0.0686], [-7.5910, 0.2993, -1.3436], [-4.7871, 1.8875, 5.7480]], "species": ["S", "S", "S", "S", "S", "S", "S", "S", "Tm", "Tm", "Ho", "Ho", "Ho", "Ho"], "frac_coords": [[0.7554, 0.2511, 0.7511], [0.2532, 0.7446, 0.7491], [0.7468, 0.2554, 0.2509], [0.2446, 0.7489, 0.2489], [0.7576, 0.7489, 0.2489], [0.2424, 0.2511, 0.7511], [0.2532, 0.2491, 0.2446], [0.7468, 0.7509, 0.7554], [0.0000, 0.5000, 0.0000], [0.5000, 0.5000, 0.0000], [0.5000, 0.0000, 0.5000], [0.0000, 0.0000, 0.5000], [0.0000, 0.5000, 0.5000], [0.0000, 0.0000, 0.0000]], "e_form_raw_mev_per_atom": -2063, "relative_energy_mev_per_atom": 0, "magmom_total_mub_per_fu": 0.000, "crystal_system": "orthorhombic", "energy_ev_per_cell": -89.15}

{"formula": "Tm12Tl5Sn2", "functional": "PBE", "state": "relaxed", "cell": [[7.1013, 0.0000, 0.0000], [-3.5507, 8.3469, 0.6388], [0.0000, -2.2510, 9.6990]], "species": ["Sn", "Sn", "Tm", "Tm", "Tm", "Tm", "Tm", "Tm", "Tm", "Tm", "Tm", "Tm", "Tm", "Tm", "Tl", "Tl", "Tl", "Tl", "Tl"], "frac_coords": [[0.7292, 0.0000, 0.0000], [0.2708, 0.0000, 0.0000], [0.5936, 0.7063, 0.4463], [0.8872, 0.2937, 0.5537], [0.0735, 0.6443, 0.8934], [0.4064, 0.2937, 0.5537], [0.5130, 0.0260, 0.2915], [0.1128, 0.7063, 0.4463], [0.4292, 0.3557, 0.1066], [0.0912, 0.1824, 0.8168], [0.9265, 0.3557, 0.1066], [0.5708, 0.6443, 0.8934], [0.9088, 0.8176, 0.1832], [0.4870, 0.9740, 0.7085], [0.6691, 0.3382, 0.8253], [0.2878, 0.5756, 0.6531], [0.3309, 0.6618, 0.1747], [0.7122, 0.4244, 0.3469], [0.0000, 0.0000, 0.5000]], "formation_energy_ev_per_atom": -0.097, "magmom_total_mub_per_fu": 0.001, "crystal_system": "monoclinic", "energy_ev_per_cell": -75.33}